[1]
Tb3Nd6Er | PBE | relaxed

a = 11.126 Å, b = 11.126 Å, c = 6.415 Å
α = 90.00°, β = 90.00°, γ = 120.85°
Atoms (fractional coordinates):
Tb1 0.115 0.885 0.500
Tb2 0.215 0.445 0.114
Tb3 0.445 0.215 0.614
Tb4 0.555 0.785 0.114
Tb5 0.785 0.555 0.614
Tb6 0.885 0.115 0.000
Nd1 0.021 0.441 0.720
Nd2 0.127 0.212 0.531
Nd3 0.212 0.127 0.031
Nd4 0.221 0.779 0.928
Nd5 0.441 0.021 0.220
Nd6 0.464 0.536 0.700
Nd7 0.536 0.464 0.200
Nd8 0.559 0.979 0.720
Nd9 0.779 0.221 0.428
Nd10 0.788 0.873 0.531
Nd11 0.873 0.788 0.031
Nd12 0.979 0.559 0.220
Er1 0.306 0.694 0.468
Er2 0.694 0.306 0.968

Summary:
Its space group is No. 36. The value obtained for the density of states at the Fermi level is 27.2 states/eV/cell. The calculation puts the distance to the lowest polymorph of the same formula at 18 meV per atom. The calculation puts the final energy at -4.57 eV/atom. The value obtained for the energy of formation from the pure elements is 0.14 eV/atom.

***

[2]
TbNd3Er4 | PBE | relaxed

a = 11.440 Å, b = 7.301 Å, c = 6.283 Å
α = 90.00°, β = 90.00°, γ = 90.00°
Atoms (fractional coordinates):
Tb1 0.000 0.130 0.000
Tb2 0.500 0.870 0.500
Nd1 0.000 0.872 0.500
Nd2 0.250 0.127 0.336
Nd3 0.250 0.873 0.836
Nd4 0.500 0.128 0.000
Nd5 0.750 0.127 0.336
Nd6 0.750 0.873 0.836
Er1 0.000 0.379 0.502
Er2 0.000 0.621 0.001
Er3 0.249 0.379 0.835
Er4 0.251 0.621 0.335
Er5 0.500 0.379 0.501
Er6 0.500 0.621 0.002
Er7 0.749 0.621 0.335
Er8 0.751 0.379 0.835

Summary:
Its space group is No. 31. The value obtained for the density of states at the Fermi level is 29.1 states/eV/cell. The calculation puts the distance to the lowest polymorph of the same formula at 0 meV per atom. The calculation puts the final energy at -4.63 eV/atom. The value obtained for the energy of formation from the pure elements is 0.02 eV/atom.

***

[3]
Tb3Nd2Er7 | PBE | relaxed

a = 19.078 Å, b = 19.078 Å, c = 3.597 Å
α = 90.00°, β = 90.00°, γ = 162.93°
Atoms (fractional coordinates):
Tb1 0.000 0.000 0.000
Tb2 0.186 0.814 0.000
Tb3 0.814 0.186 0.000
Nd1 0.353 0.647 0.500
Nd2 0.647 0.353 0.500
Er1 0.089 0.911 0.500
Er2 0.270 0.730 0.500
Er3 0.429 0.571 0.000
Er4 0.500 0.500 0.500
Er5 0.571 0.429 0.000
Er6 0.730 0.270 0.500
Er7 0.911 0.089 0.500

Summary:
Its space group is No. 65. The value obtained for the density of states at the Fermi level is 17.5 states/eV/cell. The calculation puts the distance to the lowest polymorph of the same formula at 28 meV per atom. The calculation puts the final energy at -4.50 eV/atom. The value obtained for the energy of formation from the pure elements is 0.11 eV/atom.